The following is a GGA-PBEsol calculation of a geometry-optimized MnCd2TeAu structure, from Alexandria.

Summary:
* formation energy from raw total energies: 21.517 kcal/mol of atoms
* calculated volume: 145.42 Å³ per cell
* total magnetization: 0.78 μB per atom
* raw total energy: -14.9 eV/cell

Cell: 5.4739 5.4739 4.8531 Å, 90.00 90.00 90.00°
Space group P4/mmm (No. 123)
Inequivalent atoms, fractional coordinates:
Mn  0.0000  0.0000  0.0000 x1
Cd  0.0000  0.5000  0.5000 x2
Te  0.0000  0.0000  0.5000 x1
Au  0.5000  0.5000  0.0000 x1

=====

The following is a GGA-PBEsol calculation of a geometry-optimized Hf2ZnCrAg structure, from Alexandria.

Summary:
* calculated volume: 98.50 Å³ per cell
* total magnetization: 0.00 μB per atom
* formation enthalpy at 0 K: 0.6508 eV/atom
* raw total energy: -32.9 eV/cell

Cell: 4.5954 4.5954 4.6645 Å, 90.00 90.00 90.00°
Space group P4/mmm (No. 123)
Inequivalent atoms, fractional coordinates:
Hf  0.0000  0.5000  0.0000 x2
Zn  0.0000  0.0000  0.5000 x1
Cr  0.0000  0.0000  0.0000 x1
Ag  0.5000  0.5000  0.5000 x1

=====

The following is a GGA-PBEsol calculation of a geometry-optimized TaCd structure, from Alexandria.

Summary:
* calculated volume: 149.52 Å³ per cell
* total magnetization: 0.00 μB per atom
* formation enthalpy at 0 K: 0.3085 eV/atom
* raw total energy: -52.5 eV/cell

Cell: 9.8713 2.8681 5.3593 Å, 90.00 99.80 90.00°
Space group C2/m (No. 12)
Inequivalent atoms, fractional coordinates:
Ta  0.1329  0.0000  0.4094 x4
Cd  0.1225  0.5000  0.8936 x4

=====

The following is a GGA-PBEsol calculation of a geometry-optimized Y2ZrSe structure, from Alexandria.

Summary:
* formation energy from raw total energies: -14.384 kcal/mol of atoms
* calculated volume: 97.50 Å³ per cell
* total magnetization: 0.00 μB per atom
* raw total energy: -29.1 eV/cell

Cell: 3.5021 3.5021 7.9496 Å, 90.00 90.00 90.00°
Space group P4mm (No. 99)
Inequivalent atoms, fractional coordinates:
Y  0.0000  0.0000  0.0000 x1
Y  0.5000  0.5000  0.3221 x1
Zr  0.0000  0.0000  0.5933 x1
Se  0.5000  0.5000  0.7508 x1

=====

The following is a GGA-PBEsol calculation of a geometry-optimized LaCrAg2S structure, from Alexandria.

Summary:
* formation energy from raw total energies: 39.488 kcal/mol of atoms
* calculated volume: 134.69 Å³ per cell
* total magnetization: 0.55 μB per atom
* raw total energy: -18.0 eV/cell

Cell: 5.3734 5.3734 4.6649 Å, 90.00 90.00 90.00°
Space group P4/mmm (No. 123)
Inequivalent atoms, fractional coordinates:
La  0.0000  0.0000  0.0000 x1
Cr  0.0000  0.0000  0.5000 x1
Ag  0.0000  0.5000  0.0000 x2
S  0.5000  0.5000  0.5000 x1

=====

The following is a GGA-PBEsol calculation of a geometry-optimized YTcHg2 structure, from Alexandria.

Summary:
* calculated volume: 239.21 Å³ per cell
* relative energy among the computed polymorphs: 289.0 meV per atom
* total magnetization: 0.03 μB per atom
* formation enthalpy at 0 K: 0.3630 eV/atom
* raw total energy: -53.3 eV/cell

Cell: 3.0636 3.0636 29.4307 Å, 90.00 90.00 120.00°
Space group R-3m (No. 166, hexagonal axes)
Inequivalent atoms, fractional coordinates:
Y  0.0000  0.0000  0.0000 x3
Tc  0.0000  0.0000  0.5000 x3
Hg  0.0000  0.0000  0.2432 x6

=====

Please write out number 6 again, unchanged.
The following is a GGA-PBEsol calculation of a geometry-optimized YTcHg2 structure, from Alexandria.

Summary:
* calculated volume: 239.21 Å³ per cell
* relative energy among the computed polymorphs: 289.0 meV per atom
* total magnetization: 0.03 μB per atom
* formation enthalpy at 0 K: 0.3630 eV/atom
* raw total energy: -53.3 eV/cell

Cell: 3.0636 3.0636 29.4307 Å, 90.00 90.00 120.00°
Space group R-3m (No. 166, hexagonal axes)
Inequivalent atoms, fractional coordinates:
Y  0.0000  0.0000  0.0000 x3
Tc  0.0000  0.0000  0.5000 x3
Hg  0.0000  0.0000  0.2432 x6